DFT (PBE) results for a relaxed K2MnCoTe crystal.

a = 6.7268 Å, b = 6.7268 Å, c = 5.0904 Å
α = 90.00°, β = 90.00°, γ = 90.00°
Last column: nearest neighbours and their distance in Å.
Sites, in units of the cell vectors:
K: 0.0000 0.5000 0.0000  2 Te 3.36
K: 0.5000 0.0000 0.0000  2 Te 3.36
Mn: 0.0000 0.0000 0.5000  2 Te 2.55
Co: 0.5000 0.5000 0.5000  8 K 4.22
Te: 0.0000 0.0000 0.0000  2 Mn 2.55

Calculated values
crystal system	tetragonal
final energy	-3.67	eV/atom
theoretical density	2.3	g/cm3
space group	P4/mmm, No. 123

=====

DFT (PBE) results for a relaxed K2YMnCo crystal.

a = 6.8709 Å, b = 6.8709 Å, c = 4.5333 Å
α = 90.00°, β = 90.00°, γ = 90.00°
Last column: nearest neighbours and their distance in Å.
Sites, in units of the cell vectors:
K: 0.0000 0.5000 0.0000  2 Y 3.44
K: 0.5000 0.0000 0.0000  2 Y 3.44
Y: 0.0000 0.0000 0.0000  2 Co 2.27
Mn: 0.5000 0.5000 0.5000  8 K 4.12, 2 Mn 4.53
Co: 0.0000 0.0000 0.5000  2 Y 2.27

Calculated values
crystal system	tetragonal
theoretical density	2.2	g/cm3
space group	P4/mmm, No. 123
energy relative to the elements	1.372	eV/atom

=====

DFT (PBE) results for a relaxed KCoMo3 crystal.

a = 4.4132 Å, b = 4.4132 Å, c = 4.4132 Å
α = 90.00°, β = 90.00°, γ = 90.00°
Last column: nearest neighbours and their distance in Å.
Sites, in units of the cell vectors:
K: 0.0000 0.0000 0.0000  6 Mo 2.21
Co: 0.5000 0.5000 0.5000  12 Mo 3.12
Mo: 0.0000 0.0000 0.5000  2 K 2.21
Mo: 0.0000 0.5000 0.0000  2 K 2.21
Mo: 0.5000 0.0000 0.0000  2 K 2.21

Calculated values
crystal system	cubic
theoretical density	7.5	g/cm3
space group	Pm-3m, No. 221
energy relative to the elements	3.285	eV/atom

=====

Among the records above, which one has the lowest theoretical density?
K2YMnCo